(1)
Material: Sc2TlZnCo
Method: DFT, PBE-GGA
State: relaxed

Cell lengths 4.741, 4.741, 4.682 Å; angles 90.00, 90.00, 90.00 degrees
Space group P4/mmm (No. 123)
Unique sites:
Sc1 0.000 0.500 0.000 [2 per cell]
Tl1 0.000 0.000 0.500 [1 per cell]
Zn1 0.500 0.500 0.500 [1 per cell]
Co1 0.500 0.500 0.000 [1 per cell]

Output
The calculation puts the total energy at -4.773 eV per atom. The value obtained for the calculated formation energy is -0.09 eV/atom. The density of states at the Fermi level is 0.703 states/eV per atom. Its total magnetization is 0.000 μB per formula unit.



(2)
Material: HfTaSe2Br
Method: DFT, PBE-GGA
State: relaxed

Cell lengths 5.089, 5.089, 4.739 Å; angles 90.00, 90.00, 90.00 degrees
Space group P4/mmm (No. 123)
Unique sites:
Hf1 0.000 0.000 0.000 [1 per cell]
Ta1 0.500 0.500 0.000 [1 per cell]
Se1 0.000 0.500 0.500 [2 per cell]
Br1 0.500 0.500 0.500 [1 per cell]

Output
The uncorrected formation energy comes out at 128.4 kJ per mole of atoms. The calculation puts the total energy at -4.759 eV per atom. The density of states at the Fermi level is 0.822 states/eV per atom. Its offset from the most stable computed form is 4.86 eV/f.u. Its total magnetization is 0.000 μB per formula unit.



(3)
Material: La4PCI2
Method: DFT, PBE-GGA
State: relaxed

Cell lengths 7.230, 4.116, 8.277 Å; angles 90.00, 106.62, 90.00 degrees
Space group P2/m (No. 10)
Unique sites:
La1 0.205 0.000 0.178 [2 per cell]
La2 0.247 0.500 0.815 [2 per cell]
P1 0.500 0.000 0.000 [1 per cell]
C1 0.000 0.500 0.000 [1 per cell]
I1 0.000 0.000 0.500 [1 per cell]
I2 0.500 0.500 0.500 [1 per cell]

Output
The uncorrected formation energy comes out at -104.7 kJ per mole of atoms. The calculation puts the total energy at -5.765 eV per atom. The density of states at the Fermi level is 0.362 states/eV per atom. Its total magnetization is 0.000 μB per formula unit.



(4)
Material: Na2TlSnF8
Method: DFT, PBE-GGA
State: relaxed

Cell lengths 4.854, 7.463, 5.308 Å; angles 90.00, 92.03, 90.00 degrees
Space group P2/m (No. 10)
Unique sites:
Na1 0.000 0.244 0.000 [2 per cell]
Tl1 0.500 0.500 0.500 [1 per cell]
Sn1 0.500 0.000 0.500 [1 per cell]
F1 0.173 0.500 0.193 [2 per cell]
F2 0.205 0.000 0.228 [2 per cell]
F3 0.313 0.199 0.686 [4 per cell]

Output
The uncorrected formation energy comes out at -232.7 kJ per mole of atoms. The calculation puts the total energy at -4.410 eV per atom. The density of states at the Fermi level is 0.230 states/eV per atom. Its total magnetization is 0.000 μB per formula unit.



(5)
Material: Ti4SnHg
Method: DFT, PBE-GGA
State: relaxed

Cell lengths 7.998, 4.623, 7.576 Å; angles 90.00, 110.44, 90.00 degrees
Space group C2/m (No. 12)
Unique sites:
Ti1 0.128 0.000 0.383 [4 per cell]
Ti2 0.132 0.500 0.894 [4 per cell]
Sn1 0.000 0.500 0.500 [2 per cell]
Hg1 0.000 0.000 0.000 [2 per cell]

Output
The calculation puts the total energy at -5.672 eV per atom. The value obtained for the calculated formation energy is 0.31 eV/atom. The density of states at the Fermi level is 1.073 states/eV per atom. Its offset from the most stable computed form is 2.93 eV/f.u. Its total magnetization is 1.710 μB per formula unit.



(6)
Material: La2Nd4SmDy2
Method: DFT, PBE-GGA
State: relaxed

Cell lengths 19.154, 3.697, 9.801 Å; angles 90.00, 115.78, 90.00 degrees
Space group C2/m (No. 12)
Unique sites:
La1 0.166 0.000 0.498 [4 per cell]
Nd1 0.019 0.000 0.836 [4 per cell]
Nd2 0.186 0.500 0.834 [4 per cell]
Sm1 0.000 0.500 0.500 [2 per cell]
Dy1 0.148 0.500 0.166 [4 per cell]

Output
The calculation puts the total energy at -4.755 eV per atom. The value obtained for the calculated formation energy is 0.01 eV/atom. The density of states at the Fermi level is 1.437 states/eV per atom. Its total magnetization is 0.000 μB per formula unit.



(7)
Material: BeRuW2
Method: DFT, PBE-GGA
State: relaxed

Cell lengths 5.264, 7.852, 2.746 Å; angles 90.00, 90.00, 90.00 degrees
Space group Cmmm (No. 65)
Unique sites:
Be1 0.000 0.000 0.000 [2 per cell]
Ru1 0.000 0.500 0.000 [2 per cell]
W1 0.250 0.250 0.500 [4 per cell]

Output
The calculation puts the total energy at -9.528 eV per atom. The value obtained for the calculated formation energy is 0.20 eV/atom. The density of states at the Fermi level is 0.589 states/eV per atom. Its offset from the most stable computed form is 0.67 eV/f.u. Its total magnetization is 0.000 μB per formula unit.



(8)
Material: TcAgRh
Method: DFT, PBE-GGA
State: relaxed

Cell lengths 6.001, 6.001, 6.001 Å; angles 90.00, 90.00, 90.00 degrees
Space group F-43m (No. 216)
Unique sites:
Tc1 0.000 0.000 0.000 [4 per cell]
Ag1 0.000 0.000 0.500 [4 per cell]
Rh1 0.250 0.250 0.750 [4 per cell]

Output
The calculation puts the total energy at -6.095 eV per atom. The value obtained for the calculated formation energy is 0.76 eV/atom. The density of states at the Fermi level is 1.683 states/eV per atom. Its offset from the most stable computed form is 1.74 eV/f.u. Its total magnetization is 0.000 μB per formula unit.